P.
Here is a geometry-optimized PaMnZn structure from the Alexandria database. Energies are from GGA-PBE.

```
3
Lattice="-2.490 -1.485 0.991 -0.354 -2.107 -4.045 2.465 -1.893 3.357" Properties=species:S:1:pos:R:3 pbc="T T T"
Zn 0.170 -2.283 -1.413
Pa -0.135 -2.954 1.550
Mn -0.415 -0.247 0.165
```

M_tot = 2.0 μB per cell
DOS(E_F) = 1.377 states/eV/atom

Q.
Here is a geometry-optimized PaMnZn structure from the Alexandria database. Energies are from GGA-PBE.

```
6
Lattice="4.625 -0.001 -0.002 2.312 5.111 -0.388 0.001 1.495 4.362" Properties=species:S:1:pos:R:3 pbc="T T T"
Pa 2.327 5.030 3.290
Pa 4.639 1.598 0.700
Mn 4.640 2.857 2.687
Mn 2.326 3.772 1.303
Zn 2.327 1.876 3.051
Zn 4.638 4.752 0.939
```

M_tot = 0.0 μB per cell
DOS(E_F) = 1.052 states/eV/atom

R.
Here is a geometry-optimized PaMnZn structure from the Alexandria database. Energies are from GGA-PBE.

```
3
Lattice="-1.710 -3.047 0.434 2.749 -1.735 -1.352 1.259 1.982 4.600" Properties=species:S:1:pos:R:3 pbc="T T T"
Zn 1.150 -0.265 2.678
Pa 1.021 -2.507 0.709
Mn 1.891 -2.706 2.733
```

M_tot = 0.8 μB per cell
DOS(E_F) = 1.144 states/eV/atom

S.
Here is a geometry-optimized PaMnZn structure from the Alexandria database. Energies are from GGA-PBE.

```
6
Lattice="4.524 0.000 0.000 0.000 4.812 -0.636 0.000 0.066 4.918" Properties=species:S:1:pos:R:3 pbc="T T T"
Pa 3.393 2.949 3.505
Pa 1.131 1.929 0.777
Mn 3.393 0.869 4.210
Mn 1.131 4.010 0.072
Zn 3.393 4.826 1.100
Zn 1.131 0.053 3.182
```

M_tot = 0.0 μB per cell
DOS(E_F) = 0.670 states/eV/atom

Stability verdict: Q, ahead by 77 meV/atom